(1)
Computed, not measured: an optimized crystal structure of TiWC2 at the PBEsol level of DFT.

Results
Formation enthalpy at 0 K: -1.974 eV per formula unit

Cell lengths 3.0432, 3.0432, 15.0179 Å; angles 90.00, 90.00, 120.00 degrees
Last column: nearest neighbours and their distance in Å.
Fractional coordinates of all 12 atoms:
Ti (0.0000, 0.0000, 0.0000)  6 C 2.15
Ti (0.3333, 0.6667, 0.6667)  6 C 2.15
Ti (0.6667, 0.3333, 0.3333)  6 C 2.15
W (0.0000, 0.0000, 0.5000)  6 C 2.16
W (0.3333, 0.6667, 0.1667)  6 C 2.16
W (0.6667, 0.3333, 0.8333)  6 C 2.16
C (0.0000, 0.0000, 0.2508)  3 Ti 2.15, 3 W 2.16
C (0.0000, 0.0000, 0.7492)  3 Ti 2.15, 3 W 2.16
C (0.3333, 0.6667, 0.4159)  3 Ti 2.15, 3 W 2.16
C (0.3333, 0.6667, 0.9174)  3 Ti 2.15, 3 W 2.16
C (0.6667, 0.3333, 0.0826)  3 Ti 2.15, 3 W 2.16
C (0.6667, 0.3333, 0.5841)  3 Ti 2.15, 3 W 2.16

(2)
Computed, not measured: an optimized crystal structure of Ti4WC5 at the PBEsol level of DFT.

Results
Formation enthalpy at 0 K: -7.377 eV per formula unit

Cell lengths 12.5932, 12.5932, 12.5932 Å; angles 13.86, 13.86, 13.86 degrees
Last column: nearest neighbours and their distance in Å.
Fractional coordinates of all 10 atoms:
Ti (0.0992, 0.0992, 0.0992)  6 C 2.14-2.17
Ti (0.3003, 0.3003, 0.3003)  6 C 2.15-2.16
Ti (0.6997, 0.6997, 0.6997)  6 C 2.15-2.16
Ti (0.9008, 0.9008, 0.9008)  6 C 2.14-2.17
W (0.5000, 0.5000, 0.5000)  6 C 2.16
C (0.0000, 0.0000, 0.0000)  6 Ti 2.15
C (0.2002, 0.2002, 0.2002)  3 W 2.16, 3 Ti 2.17
C (0.4000, 0.4000, 0.4000)  6 Ti 2.14-2.16
C (0.6000, 0.6000, 0.6000)  6 Ti 2.14-2.16
C (0.7998, 0.7998, 0.7998)  3 W 2.16, 3 Ti 2.17

(3)
Computed, not measured: an optimized crystal structure of YTiC3 at the PBEsol level of DFT.

Results
Formation enthalpy at 0 K: 3.512 eV per formula unit

Cell lengths 3.9841, 3.9841, 3.9841 Å; angles 90.00, 90.00, 90.00 degrees
Last column: nearest neighbours and their distance in Å.
Fractional coordinates of all 5 atoms:
Y (0.0000, 0.0000, 0.0000)  12 C 2.82
Ti (0.5000, 0.5000, 0.5000)  6 C 1.99
C (0.0000, 0.5000, 0.5000)  2 Ti 1.99
C (0.5000, 0.0000, 0.5000)  2 Ti 1.99
C (0.5000, 0.5000, 0.0000)  2 Ti 1.99

Number 1: DFT total energy -10.85 eV/atom. Number 2: DFT total energy -10.27 eV/atom. Number 3: DFT total energy -8.11 eV/atom.